DFT (PBE) results for crystalline CaZn2Rh2 at its relaxed geometry.

Summary:
The formation energy is -0.386 eV per atom. As for the symmetry: P4/mbm. The excess energy over the best structure of this formula in the dataset comes out at 0.018 eV/atom. The total moment is 0.000 Bohr magnetons per cell.

abc: 7.3736 7.3736 3.0459
angles: 90.00 90.00 90.00
With the nearest neighbours (Å) after each atom.
Fractional coordinates of all 10 atoms:
Ca1 0.0000 0.0000 0.0000  4 Rh 2.84, 2 Ca 3.05
Ca2 0.5000 0.5000 0.0000  4 Rh 2.84, 2 Ca 3.05
Zn1 0.1516 0.3484 0.5000  6 Rh 2.64-2.65
Zn2 0.3484 0.8484 0.5000  6 Rh 2.64-2.65
Zn3 0.6516 0.1516 0.5000  6 Rh 2.64-2.65
Zn4 0.8484 0.6516 0.5000  6 Rh 2.64-2.65
Rh1 0.1418 0.6418 0.0000  6 Zn 2.64-2.65, 2 Ca 2.84
Rh2 0.3582 0.1418 0.0000  6 Zn 2.64-2.65, 2 Ca 2.84
Rh3 0.6418 0.8582 0.0000  6 Zn 2.64-2.65, 2 Ca 2.84
Rh4 0.8582 0.3582 0.0000  6 Zn 2.64-2.65, 2 Ca 2.84